Computed, not measured: a relaxed structure of BaNa6Sr2 at the PBE level of DFT.

a b c (Å): 7.4041 7.4024 7.4024
angles (deg): 90.32 89.64 89.64
Closest atoms and distances in Å follow each position.
Element x y z (fractional)
Na  0.8313  0.5003  0.8322  3 Na 3.48-3.53
Na  0.5000  0.1682  0.8318  3 Na 3.48-3.53
Na  0.5000  0.8318  0.1682  3 Na 3.48-3.53
Na  0.8313  0.8322  0.5003  3 Na 3.48-3.53
Na  0.1687  0.1678  0.4997  3 Na 3.48-3.53
Na  0.1687  0.4997  0.1678  3 Na 3.48-3.53
Sr  0.6659  0.3354  0.3354  12 Na 4.07-4.12, 1 Sr 4.21, 1 Ba 4.27
Sr  0.3341  0.6646  0.6646  12 Na 4.07-4.12, 1 Sr 4.21, 1 Ba 4.27
Ba  0.0000  0.0000  0.0000  12 Na 4.10, 2 Sr 4.27

Values from the calculation:
* calculated density: 1.84 g cm⁻³
* crystal system: monoclinic
* formation energy from the elements: 36 meV per atom
* energy above the lowest structure with this stoichiometry: 0.0 kJ per mole of atoms